# 1
Computed, not measured: CdAsRu2 after structural relaxation at the PBE level of DFT.

Results
Space-group type: Imm2
Calculated volume (A^3/atom): 16.6
Crystal system: orthorhombic
N(E_F) (states/eV per cell): 4.3
Formation enthalpy at 0 K (eV/f.u.): 1.07
Spin magnetization (μB/f.u.): 0.8
Relative energy among the computed polymorphs (kJ/mol of atoms): 19.2

a = 5.9204 Å, b = 5.9204 Å, c = 5.9204 Å
α = 150.16°, β = 139.61°, γ = 51.01°
Atoms (fractional coordinates):
Cd1 0.0000 0.0000 0.0000
As1 0.7560 0.2560 0.5000
Ru1 0.3108 0.8108 0.5000
Ru2 0.5820 0.5820 0.0000


# 2
Computed, not measured: LiScSb2 after structural relaxation at the PBE level of DFT.

Results
E_form (uncorrected) (eV per atom): -0.52
Space-group type: I4/mmm
Calculated volume (A^3/atom): 22.9
Crystal system: tetragonal
N(E_F) (states/eV per cell): 2.5
Spin magnetization (μB/f.u.): 0.0
Relative energy among the computed polymorphs (kJ/mol of atoms): 10.9

a = 5.2491 Å, b = 5.2491 Å, c = 5.2491 Å
α = 125.96°, β = 125.96°, γ = 79.96°
Atoms (fractional coordinates):
Li1 0.0000 0.0000 0.0000
Sc1 0.5000 0.5000 0.0000
Sb1 0.2500 0.7500 0.5000
Sb2 0.7500 0.2500 0.5000


# 3
Computed, not measured: Ca8TlIr2 after structural relaxation at the PBE level of DFT.

Results
Space-group type: Cm
Calculated volume (A^3/atom): 30.5
Crystal system: monoclinic
N(E_F) (states/eV per cell): 8.3
Formation enthalpy at 0 K (eV/f.u.): -3.23
Spin magnetization (μB/f.u.): 0.0

a = 8.0578 Å, b = 8.0578 Å, c = 5.6986 Å
α = 97.28°, β = 97.28°, γ = 111.44°
Atoms (fractional coordinates):
Ca1 0.0000 0.0000 0.0000
Ca2 0.0544 0.3259 0.6317
Ca3 0.1360 0.6337 0.2108
Ca4 0.3259 0.0544 0.6317
Ca5 0.4433 0.7149 0.7900
Ca6 0.6337 0.1360 0.2108
Ca7 0.7149 0.4433 0.7900
Ca8 0.7686 0.7686 0.4211
Tl1 0.3841 0.3841 0.2118
Ir1 0.0680 0.7011 0.7106
Ir2 0.7011 0.0680 0.7106